# 1
LiIrW4 after structural relaxation, computed with PBE.

POSCAR file:
```
LiIrW4
1.0
0.261 0.439 5.197
-4.293 1.146 2.743
-2.203 -3.630 3.041
Li Ir W
1 1 4
Cartesian
0.000 0.000 0.000
-4.676 -1.533 8.235
-2.197 -0.542 6.731
-3.443 -2.600 5.640
-4.501 -0.184 5.489
-2.329 -0.764 4.101
```

Properties
For the electronic total energy, the calculation gives -9.896 eV/atom. The space group is F-43m. The spin magnetization is 0.000 μB/cell.

---

# 2
V2PRu2 after structural relaxation, computed with PBE.

POSCAR file:
```
V2PRu2
1.0
-1.330 -3.638 -0.290
0.471 -0.478 3.826
-5.421 -0.299 2.602
Ru V P
2 2 1
Cartesian
-1.616 -1.640 1.966
-4.663 -2.776 4.172
-3.590 -2.998 2.040
-2.689 -1.418 4.098
0.000 0.000 0.000
```

Properties
The value obtained for the relative energy among the computed polymorphs is 0.2913 eV/atom. For the electronic total energy, the calculation gives -8.124 eV/atom. The space group is I4/mmm. The spin magnetization is 0.000 μB/cell.

---

# 3
SmCd3Ag4 after structural relaxation, computed with PBE.

POSCAR file:
```
SmCd3Ag4
1.0
4.666 0.000 1.377
2.130 4.151 1.377
-0.037 -0.023 8.717
Ag Sm Cd
4 1 3
Cartesian
5.905 3.607 5.771
2.596 1.586 8.390
0.853 0.521 5.701
4.163 2.543 3.082
0.000 0.000 0.000
1.706 1.042 2.811
5.052 3.086 8.661
3.379 2.064 5.736
```

Properties
For the electronic total energy, the calculation gives -2.487 eV/atom. The space group is R-3m. The spin magnetization is 0.000 μB/cell.

---

# 4
BaAl2ZnCo after structural relaxation, computed with PBE.

POSCAR file:
```
BaAl2ZnCo
1.0
-1.115 2.987 -3.395
-4.257 0.485 1.825
1.592 3.698 2.730
Zn Co Ba Al
1 1 1 2
Cartesian
0.796 1.849 1.365
0.000 0.000 0.000
-1.890 3.585 0.580
-2.128 0.243 0.913
-0.557 1.493 -1.697
```

Properties
For the electronic total energy, the calculation gives -3.798 eV/atom. The space group is P4/mmm. The spin magnetization is 0.000 μB/cell.

---

no.,energy of formation from the pure elements (meV per atom)
1,535.6
2,315.3
3,-128.0
4,-240.5